DFT (PBEsol) results for a relaxed structure of SiAuS3.

total moment: 0.00 μB per formula unit
formation energy from raw total energies: 0.4564 eV/atom
calculated volume: 87.8 Å³/cell
space group: No. 221

a b c (Å): 4.445 4.445 4.445
angles (deg): 90.00 90.00 90.00
Sites, in units of the cell vectors:
Si 0.000 0.000 0.000
Au 0.500 0.500 0.500
S 0.000 0.000 0.500
S 0.000 0.500 0.000
S 0.500 0.000 0.000